DFT (meta-GGA SCAN) results for a PBEsol-optimized structure of MnCuIN2. Values from VASP.

Structure (Quantum ESPRESSO input):
```
&SYSTEM
  ibrav = 0, nat = 5, ntyp = 4
/
ATOMIC_SPECIES
N 14.01 N.upf
Mn 54.94 Mn.upf
Cu 63.55 Cu.upf
I 126.90 I.upf
CELL_PARAMETERS angstrom
-1.528 -3.091 -1.049
2.219 -0.135 -2.837
3.702 -2.859 3.032
ATOMIC_POSITIONS crystal
N 0.500 0.000 0.000
N 0.000 0.500 0.000
Mn 0.000 0.000 0.000
Cu 0.500 0.500 0.500
I 0.000 0.000 0.500
```

Calculated values
Its uncorrected formation energy is 0.745 eV/atom. As for the density of states at the Fermi level: 2.66 states/eV/cell.


DFT (meta-GGA SCAN) results for a PBEsol-optimized structure of CuMoI2O. Values from VASP.

Structure (Quantum ESPRESSO input):
```
&SYSTEM
  ibrav = 0, nat = 5, ntyp = 4
/
ATOMIC_SPECIES
Cu 63.55 Cu.upf
I 126.90 I.upf
O 16.00 O.upf
Mo 95.94 Mo.upf
CELL_PARAMETERS angstrom
-2.023 0.952 2.990
-4.055 -3.180 -1.731
2.105 -4.185 2.758
ATOMIC_POSITIONS crystal
Cu 0.500 0.500 0.500
I 0.000 0.000 0.500
O 0.500 0.000 0.000
I 0.000 0.500 0.000
Mo 0.000 0.000 0.000
```

Calculated values
Its uncorrected formation energy is -0.049 eV/atom. As for the density of states at the Fermi level: 2.20 states/eV/cell.


DFT (meta-GGA SCAN) results for a PBEsol-optimized structure of NaCuIN2. Values from VASP.

Structure (Quantum ESPRESSO input):
```
&SYSTEM
  ibrav = 0, nat = 5, ntyp = 4
/
ATOMIC_SPECIES
Na 22.99 Na.upf
Cu 63.55 Cu.upf
I 126.90 I.upf
N 14.01 N.upf
CELL_PARAMETERS angstrom
-2.831 3.054 1.048
-3.021 -2.014 -2.292
-1.600 -3.161 4.887
ATOMIC_POSITIONS crystal
Na 0.000 0.000 0.000
Cu 0.500 0.500 0.500
I 0.000 0.000 0.500
N 0.500 0.000 0.000
N 0.000 0.500 0.000
```

Calculated values
Its uncorrected formation energy is 1.730 eV/atom. As for the density of states at the Fermi level: 1.85 states/eV/cell.


Going through the records in order, we get total energy values of -17.01 -26.01 -13.22 eV per atom.